(one)
# Tb4Dy3Th | Alexandria via LeMat-Bulk | PBE-GGA | relaxed
# D(E_F) = 1.72 states/eV per atom
# spin magnetization = 0.00 μB/f.u.
data_Tb4Dy3Th
_cell_length_a 23.279
_cell_length_b 3.453
_cell_length_c 6.749
_cell_angle_alpha 90.00
_cell_angle_beta 106.81
_cell_angle_gamma 90.00
_symmetry_space_group_name_H-M 'C 1 2/m 1'
_symmetry_Int_Tables_number 12
loop_
_symmetry_equiv_pos_as_xyz
'x,y,z'
'-x,-y,-z'
'-x,y,-z'
'x,-y,z'
'x+1/2,y+1/2,z'
'-x+1/2,-y+1/2,-z'
'-x+1/2,y+1/2,-z'
'x+1/2,-y+1/2,z'
loop_
_atom_site_label
_atom_site_type_symbol
_atom_site_fract_x
_atom_site_fract_y
_atom_site_fract_z
_atom_site_occupancy
Tb1 Tb 0.124 0.000 0.363 1
Tb2 Tb 0.241 0.500 0.240 1
Dy1 Dy 0.000 0.000 0.500 1
Dy2 Dy 0.124 0.000 0.884 1
Th1 Th 0.000 0.500 0.000 1

=====

(two)
# Tb4Dy3Th | Alexandria via LeMat-Bulk | PBE-GGA | relaxed
# D(E_F) = 1.78 states/eV per atom
# spin magnetization = 0.00 μB/f.u.
data_Tb4Dy3Th
_cell_length_a 11.401
_cell_length_b 7.241
_cell_length_c 6.255
_cell_angle_alpha 90.00
_cell_angle_beta 90.00
_cell_angle_gamma 90.00
_symmetry_space_group_name_H-M 'P m n 21'
_symmetry_Int_Tables_number 31
loop_
_symmetry_equiv_pos_as_xyz
'x,y,z'
'-x+1/2,-y,z+1/2'
'-x,y,z'
'x+1/2,-y,z+1/2'
loop_
_atom_site_label
_atom_site_type_symbol
_atom_site_fract_x
_atom_site_fract_y
_atom_site_fract_z
_atom_site_occupancy
Tb1 Tb 0.000 0.127 0.000 1
Tb2 Tb 0.000 0.870 0.502 1
Tb3 Tb 0.249 0.873 0.842 1
Dy1 Dy 0.000 0.378 0.502 1
Dy2 Dy 0.249 0.379 0.830 1
Th1 Th 0.000 0.623 0.004 1

=====

The most stable of them is (two).

=====

(one)
# TbDy7Th2 | Alexandria via LeMat-Bulk | PBE-GGA | relaxed
# D(E_F) = 1.47 states/eV per atom
# spin magnetization = 0.00 μB/f.u.
data_TbDy7Th2
_cell_length_a 11.967
_cell_length_b 16.633
_cell_length_c 3.487
_cell_angle_alpha 90.00
_cell_angle_beta 90.00
_cell_angle_gamma 90.00
_symmetry_space_group_name_H-M 'C m m m'
_symmetry_Int_Tables_number 65
_symmetry_space_group_name_Hall '-C 2 2'
loop_
_atom_site_label
_atom_site_type_symbol
_atom_site_fract_x
_atom_site_fract_y
_atom_site_fract_z
_atom_site_occupancy
Tb1 Tb 0.000 0.000 0.000 1
Dy1 Dy 0.000 0.332 0.000 1
Dy2 Dy 0.000 0.500 0.500 1
Dy3 Dy 0.241 0.372 0.500 1
Th1 Th 0.000 0.174 0.500 1

=====

(two)
# TbDy7Th2 | Alexandria via LeMat-Bulk | PBE-GGA | relaxed
# D(E_F) = 1.45 states/eV per atom
# spin magnetization = 0.00 μB/f.u.
data_TbDy7Th2
_cell_length_a 8.692
_cell_length_b 16.636
_cell_length_c 5.496
_cell_angle_alpha 90.00
_cell_angle_beta 90.00
_cell_angle_gamma 90.00
_symmetry_space_group_name_H-M 'C m m m'
_symmetry_Int_Tables_number 65
_symmetry_space_group_name_Hall '-C 2 2'
loop_
_atom_site_label
_atom_site_type_symbol
_atom_site_fract_x
_atom_site_fract_y
_atom_site_fract_z
_atom_site_occupancy
Tb1 Tb 0.000 0.000 0.000 1
Dy1 Dy 0.000 0.208 0.000 1
Dy2 Dy 0.000 0.500 0.500 1
Dy3 Dy 0.176 0.110 0.500 1
Th1 Th 0.000 0.295 0.500 1

=====

The most stable of them is (one).

=====

(one)
# Tb6Dy3Th | Alexandria via LeMat-Bulk | PBE-GGA | relaxed
# D(E_F) = 1.86 states/eV per atom
# spin magnetization = 0.00 μB/f.u.
data_Tb6Dy3Th
_cell_length_a 9.8262
_cell_length_b 9.8262
_cell_length_c 11.8230
_cell_angle_alpha 90.00
_cell_angle_beta 90.00
_cell_angle_gamma 120.00
_symmetry_space_group_name_H-M 'R 3 2'
_symmetry_Int_Tables_number 155
_symmetry_space_group_name_Hall 'R 3 2"'
loop_
_atom_site_label
_atom_site_type_symbol
_atom_site_fract_x
_atom_site_fract_y
_atom_site_fract_z
_atom_site_occupancy
Tb1 Tb 0.0000 0.3299 0.0000 1
Tb2 Tb 0.0000 0.6664 0.5000 1
Dy1 Dy 0.0000 0.0000 0.2579 1
Dy2 Dy 0.0000 0.0000 0.5000 1
Th1 Th 0.0000 0.0000 0.0000 1

=====

(two)
# Tb6Dy3Th | Alexandria via LeMat-Bulk | PBE-GGA | relaxed
# D(E_F) = 1.42 states/eV per atom
# spin magnetization = 0.00 μB/f.u.
data_Tb6Dy3Th
_cell_length_a 13.022
_cell_length_b 3.520
_cell_length_c 14.286
_cell_angle_alpha 90.00
_cell_angle_beta 100.52
_cell_angle_gamma 90.00
_symmetry_space_group_name_H-M 'P 1 21/m 1'
_symmetry_Int_Tables_number 11
loop_
_symmetry_equiv_pos_as_xyz
'x,y,z'
'-x,-y,-z'
'-x,y+1/2,-z'
'x,-y+1/2,z'
loop_
_atom_site_label
_atom_site_type_symbol
_atom_site_fract_x
_atom_site_fract_y
_atom_site_fract_z
_atom_site_occupancy
Tb1 Tb 0.000 0.250 0.190 1
Tb2 Tb 0.154 0.750 0.380 1
Tb3 Tb 0.228 0.250 0.800 1
Tb4 Tb 0.278 0.250 0.214 1
Tb5 Tb 0.309 0.250 0.579 1
Tb6 Tb 0.378 0.750 0.015 1
Dy1 Dy 0.078 0.750 0.597 1
Dy2 Dy 0.126 0.250 0.002 1
Dy3 Dy 0.425 0.750 0.400 1
Th1 Th 0.461 0.750 0.777 1

=====

The most stable of them is (two).

=====

(one)
# TbDy2Th2 | Alexandria via LeMat-Bulk | PBE-GGA | relaxed
# D(E_F) = 1.62 states/eV per atom
# spin magnetization = 0.00 μB/f.u.
data_TbDy2Th2
_cell_length_a 3.482
_cell_length_b 16.757
_cell_length_c 23.131
_cell_angle_alpha 90.00
_cell_angle_beta 90.00
_cell_angle_gamma 90.00
_symmetry_space_group_name_H-M 'F d d d'
_symmetry_Int_Tables_number 70
loop_
_symmetry_equiv_pos_as_xyz
'x,y,z'
'-x,-y,-z'
'-x+1/4,-y+1/4,z'
'x+1/4,y+1/4,-z'
'x,-y+1/4,-z+1/4'
'-x,y+1/4,z+1/4'
'-x+1/4,y,-z+1/4'
'x+1/4,-y,z+1/4'
'x,y+1/2,z+1/2'
'-x,-y+1/2,-z+1/2'
'-x+1/4,-y+3/4,z+1/2'
'x+1/4,y+3/4,-z+1/2'
'x,-y+3/4,-z+3/4'
'-x,y+3/4,z+3/4'
'-x+1/4,y+1/2,-z+3/4'
'x+1/4,-y+1/2,z+3/4'
'x+1/2,y,z+1/2'
'-x+1/2,-y,-z+1/2'
'-x+3/4,-y+1/4,z+1/2'
'x+3/4,y+1/4,-z+1/2'
'x+1/2,-y+1/4,-z+3/4'
'-x+1/2,y+1/4,z+3/4'
'-x+3/4,y,-z+3/4'
'x+3/4,-y,z+3/4'
'x+1/2,y+1/2,z'
'-x+1/2,-y+1/2,-z'
'-x+3/4,-y+3/4,z'
'x+3/4,y+3/4,-z'
'x+1/2,-y+3/4,-z+1/4'
'-x+1/2,y+3/4,z+1/4'
'-x+3/4,y+1/2,-z+1/4'
'x+3/4,-y+1/2,z+1/4'
loop_
_atom_site_label
_atom_site_type_symbol
_atom_site_fract_x
_atom_site_fract_y
_atom_site_fract_z
_atom_site_occupancy
Tb1 Tb 0.125 0.125 0.125 1
Dy1 Dy 0.125 0.295 0.625 1
Th1 Th 0.000 0.000 0.000 1

=====

(two)
# TbDy2Th2 | Alexandria via LeMat-Bulk | PBE-GGA | relaxed
# D(E_F) = 1.42 states/eV per atom
# spin magnetization = 0.00 μB/f.u.
data_TbDy2Th2
_cell_length_a 3.515
_cell_length_b 5.798
_cell_length_c 15.876
_cell_angle_alpha 90.00
_cell_angle_beta 90.00
_cell_angle_gamma 90.00
_symmetry_space_group_name_H-M 'I m m m'
_symmetry_Int_Tables_number 71
_symmetry_space_group_name_Hall '-I 2 2'
loop_
_atom_site_label
_atom_site_type_symbol
_atom_site_fract_x
_atom_site_fract_y
_atom_site_fract_z
_atom_site_occupancy
Tb1 Tb 0.000 0.000 0.000 1
Dy1 Dy 0.000 0.000 0.399 1
Th1 Th 0.000 0.500 0.287 1

=====

The most stable of them is (two).

=====

(one)
# Tb4Dy5Th | Alexandria via LeMat-Bulk | PBE-GGA | relaxed
# D(E_F) = 1.48 states/eV per atom
# spin magnetization = 0.00 μB/f.u.
data_Tb4Dy5Th
_cell_length_a 10.182
_cell_length_b 10.182
_cell_length_c 6.337
_cell_angle_alpha 90.00
_cell_angle_beta 90.00
_cell_angle_gamma 90.00
_symmetry_space_group_name_H-M 'I 4'
_symmetry_Int_Tables_number 79
loop_
_symmetry_equiv_pos_as_xyz
'x,y,z'
'-y,x,z'
'-x,-y,z'
'y,-x,z'
'x+1/2,y+1/2,z+1/2'
'-y+1/2,x+1/2,z+1/2'
'-x+1/2,-y+1/2,z+1/2'
'y+1/2,-x+1/2,z+1/2'
loop_
_atom_site_label
_atom_site_type_symbol
_atom_site_fract_x
_atom_site_fract_y
_atom_site_fract_z
_atom_site_occupancy
Tb1 Tb 0.047 0.655 0.000 1
Dy1 Dy 0.000 0.000 0.242 1
Dy2 Dy 0.146 0.769 0.502 1
Th1 Th 0.000 0.000 0.776 1

=====

(two)
# Tb4Dy5Th | Alexandria via LeMat-Bulk | PBE-GGA | relaxed
# D(E_F) = 1.44 states/eV per atom
# spin magnetization = 0.00 μB/f.u.
data_Tb4Dy5Th
_cell_length_a 17.642
_cell_length_b 3.561
_cell_length_c 11.030
_cell_angle_alpha 90.00
_cell_angle_beta 102.13
_cell_angle_gamma 90.00
_symmetry_space_group_name_H-M 'C 1 2/m 1'
_symmetry_Int_Tables_number 12
loop_
_symmetry_equiv_pos_as_xyz
'x,y,z'
'-x,-y,-z'
'-x,y,-z'
'x,-y,z'
'x+1/2,y+1/2,z'
'-x+1/2,-y+1/2,-z'
'-x+1/2,y+1/2,-z'
'x+1/2,-y+1/2,z'
loop_
_atom_site_label
_atom_site_type_symbol
_atom_site_fract_x
_atom_site_fract_y
_atom_site_fract_z
_atom_site_occupancy
Tb1 Tb 0.021 0.000 0.259 1
Tb2 Tb 0.178 0.500 0.221 1
Dy1 Dy 0.000 0.500 0.500 1
Dy2 Dy 0.161 0.000 0.926 1
Dy3 Dy 0.169 0.000 0.518 1
Th1 Th 0.000 0.500 0.000 1

=====

The most stable of them is (two).

=====

(one)
# TbDyTh | Alexandria via LeMat-Bulk | PBE-GGA | relaxed
# D(E_F) = 1.39 states/eV per atom
# spin magnetization = 0.00 μB/f.u.
data_TbDyTh
_cell_length_a 3.581
_cell_length_b 3.581
_cell_length_c 14.980
_cell_angle_alpha 90.00
_cell_angle_beta 90.00
_cell_angle_gamma 90.00
_symmetry_space_group_name_H-M 'I 4 m m'
_symmetry_Int_Tables_number 107
_symmetry_space_group_name_Hall 'I 4 -2'
loop_
_atom_site_label
_atom_site_type_symbol
_atom_site_fract_x
_atom_site_fract_y
_atom_site_fract_z
_atom_site_occupancy
Tb1 Tb 0.000 0.000 0.000 1
Dy1 Dy 0.000 0.000 0.678 1
Th1 Th 0.000 0.000 0.339 1

=====

(two)
# TbDyTh | Alexandria via LeMat-Bulk | PBE-GGA | relaxed
# D(E_F) = 1.63 states/eV per atom
# spin magnetization = 0.00 μB/f.u.
data_TbDyTh
_cell_length_a 6.203
_cell_length_b 3.582
_cell_length_c 17.412
_cell_angle_alpha 90.00
_cell_angle_beta 96.85
_cell_angle_gamma 90.00
_symmetry_space_group_name_H-M 'C 1 2/m 1'
_symmetry_Int_Tables_number 12
loop_
_symmetry_equiv_pos_as_xyz
'x,y,z'
'-x,-y,-z'
'-x,y,-z'
'x,-y,z'
'x+1/2,y+1/2,z'
'-x+1/2,-y+1/2,-z'
'-x+1/2,y+1/2,-z'
'x+1/2,-y+1/2,z'
loop_
_atom_site_label
_atom_site_type_symbol
_atom_site_fract_x
_atom_site_fract_y
_atom_site_fract_z
_atom_site_occupancy
Tb1 Tb 0.084 0.000 0.249 1
Dy1 Dy 0.194 0.000 0.582 1
Th1 Th 0.140 0.500 0.918 1

=====

The most stable of them is (two).